Here is crystalline Re2Tc2Rh at its relaxed geometry from Alexandria via LeMat-Bulk. Energies are from PBE.

Cell and atoms, written as POSCAR:
```
Re2Tc2Rh
1.0
7.3738 0.0000 0.0000
0.0000 7.3738 0.0000
0.0000 0.0000 2.8439
Tc Rh Re
4 2 4
Cartesian
2.7104 6.3973 0.0000
6.3973 4.6633 0.0000
0.9764 2.7104 0.0000
4.6633 0.9764 0.0000
0.0000 0.0000 0.0000
3.6869 3.6869 0.0000
2.4654 1.2215 1.4219
4.9084 6.1523 1.4219
1.2215 4.9084 1.4219
6.1523 2.4654 1.4219
```

The value obtained for the magnetization is 0.00 Bohr magnetons per cell. The density of states at the Fermi level comes out at 3.96 states/eV/f.u. The offset from the most stable computed form is 235 meV/atom. As for the total energy: -0.761 Ry/atom.

---

Here is crystalline ReTc2Rh at its relaxed geometry from Alexandria via LeMat-Bulk. Energies are from PBE.

Cell and atoms, written as POSCAR:
```
ReTc2Rh
1.0
-4.3945 1.1609 3.3151
0.4158 -5.1003 2.3373
1.3967 0.0407 6.6107
Rh Tc Re
2 4 2
Cartesian
-1.9893 -1.9697 2.8262
-0.0884 -3.5147 5.8871
0.0527 -3.0305 3.5332
-0.4438 -1.4549 7.0814
-2.4345 -3.4083 9.9002
-2.3384 0.0964 4.0115
0.0000 0.0000 0.0000
-2.4936 -0.3840 6.3760
```

The value obtained for the magnetization is 0.00 Bohr magnetons per cell. The density of states at the Fermi level comes out at 5.35 states/eV/f.u. The offset from the most stable computed form is 1354 meV/atom. As for the total energy: -0.648 Ry/atom.